# TlAg2SeBr, relaxed, DFT PBE
# Crystal system ... monoclinic
data_TlAg2SeBr
_cell_length_a 7.610
_cell_length_b 4.507
_cell_length_c 8.881
_cell_angle_alpha 90.00
_cell_angle_beta 104.94
_cell_angle_gamma 90.00
_space_group_name_H-M_alt 'P 1 21/m 1'
_space_group_IT_number 11
loop_
_space_group_symop_operation_xyz
'x,y,z'
'-x,-y,-z'
'-x,y+1/2,-z'
'x,-y+1/2,z'
loop_
_atom_site_label
_atom_site_type_symbol
_atom_site_fract_x
_atom_site_fract_y
_atom_site_fract_z
Tl1 Tl 0.064 0.250 0.276
Ag1 Ag 0.444 0.250 0.580
Ag2 Ag 0.474 0.750 0.811
Se1 Se 0.242 0.750 0.536
Br1 Br 0.306 0.750 0.066

# VAgSe2Br, relaxed, DFT PBE
# Crystal system ... tetragonal
data_VAgSe2Br
_cell_length_a 4.774
_cell_length_b 4.774
_cell_length_c 5.451
_cell_angle_alpha 90.00
_cell_angle_beta 90.00
_cell_angle_gamma 90.00
_space_group_name_H-M_alt 'P 4/m m m'
_space_group_IT_number 123
_space_group_name_Hall '-P 4 2'
loop_
_atom_site_label
_atom_site_type_symbol
_atom_site_fract_x
_atom_site_fract_y
_atom_site_fract_z
V1 V 0.000 0.000 0.000
Ag1 Ag 0.500 0.500 0.500
Se1 Se 0.000 0.500 0.000
Br1 Br 0.000 0.000 0.500

# VAgSeBr2, relaxed, DFT PBE
# Crystal system ... tetragonal
data_VAgSeBr2
_cell_length_a 5.248
_cell_length_b 5.248
_cell_length_c 4.766
_cell_angle_alpha 90.00
_cell_angle_beta 90.00
_cell_angle_gamma 90.00
_space_group_name_H-M_alt 'P 4/m m m'
_space_group_IT_number 123
_space_group_name_Hall '-P 4 2'
loop_
_atom_site_label
_atom_site_type_symbol
_atom_site_fract_x
_atom_site_fract_y
_atom_site_fract_z
V1 V 0.000 0.000 0.000
Ag1 Ag 0.500 0.500 0.500
Se1 Se 0.000 0.000 0.500
Br1 Br 0.000 0.500 0.000

# AgWSeBr2, relaxed, DFT PBE
# Crystal system ... tetragonal
data_AgWSeBr2
_cell_length_a 5.090
_cell_length_b 5.090
_cell_length_c 5.318
_cell_angle_alpha 90.00
_cell_angle_beta 90.00
_cell_angle_gamma 90.00
_space_group_name_H-M_alt 'P 4/m m m'
_space_group_IT_number 123
_space_group_name_Hall '-P 4 2'
loop_
_atom_site_label
_atom_site_type_symbol
_atom_site_fract_x
_atom_site_fract_y
_atom_site_fract_z
Ag1 Ag 0.000 0.000 0.000
W1 W 0.500 0.500 0.500
Se1 Se 0.000 0.000 0.500
Br1 Br 0.000 0.500 0.000

Number 1: ΔE to the lowest computed polymorph 0.0 meV/atom, E_form (uncorrected) -0.3059 eV/atom. Number 2: ΔE to the lowest computed polymorph 0.0 meV/atom, E_form (uncorrected) -0.0526 eV/atom. Number 3: ΔE to the lowest computed polymorph 0.0 meV/atom, E_form (uncorrected) -0.1604 eV/atom. Number 4: ΔE to the lowest computed polymorph 887.2 meV/atom, E_form (uncorrected) 1.2749 eV/atom.